1.
First-principles (PBE-GGA) data for ZnInBr2 after structural relaxation, as listed in the Alexandria database.

Geometry as POSCAR:
```
ZnInBr2
1.0
0.000 3.797 3.797
3.797 0.000 3.797
3.797 3.797 0.000
Zn In Br
1 1 2
Direct
0.000 0.000 0.000
0.750 0.750 0.750
0.250 0.250 0.250
0.500 0.500 0.500
```

Results
- Space group: F-43m, No. 216
- ΔE_f (raw): -0.03 eV per atom
- Magnetization: 0.00 μB per formula unit
- Crystal system: cubic
- DOS at the Fermi energy: 1.09 states/eV per atom
- Energy relative to the lowest polymorph listed for this composition: 563.9 meV per atom

=====

2.
First-principles (PBE-GGA) data for ZnInBr5 after structural relaxation, as listed in the Alexandria database.

Geometry as POSCAR:
```
ZnInBr5
1.0
5.131 -5.200 0.000
5.131 5.200 0.000
-4.938 0.000 8.938
Zn In Br
2 2 10
Direct
0.115 0.885 0.750
0.885 0.115 0.250
0.000 0.500 0.000
0.500 0.000 0.500
0.177 0.602 0.837
0.178 0.197 0.471
0.197 0.178 0.971
0.338 0.662 0.250
0.398 0.823 0.663
0.602 0.177 0.337
0.662 0.338 0.750
0.803 0.822 0.029
0.822 0.803 0.529
0.823 0.398 0.163
```

Results
- Space group: C2/c, No. 15
- ΔE_f (raw): -0.77 eV per atom
- Magnetization: 0.00 μB per formula unit
- Crystal system: monoclinic

=====

3.
First-principles (PBE-GGA) data for ZnInBr2 after structural relaxation, as listed in the Alexandria database.

Geometry as POSCAR:
```
ZnInBr2
1.0
5.368 0.000 0.000
0.000 5.368 0.000
0.000 0.000 3.813
Zn In Br
1 1 2
Direct
0.000 0.000 0.000
0.500 0.500 0.000
0.000 0.500 0.500
0.500 0.000 0.500
```

Results
- Space group: P4/mmm, No. 123
- ΔE_f (raw): -0.24 eV per atom
- Magnetization: 0.00 μB per formula unit
- Crystal system: tetragonal
- DOS at the Fermi energy: 0.59 states/eV per atom
- Energy relative to the lowest polymorph listed for this composition: 355.8 meV per atom

=====

Values of density, in order: 5.16 4.04 5.14, all in g/cm³.